Pm4GaAu GGA-PBE optimized geometry; calculated volume = 186.3 Å³ per cell; crystal system = tetragonal; uncorrected energy = -4.530 eV/atom; formation energy = -312 meV/atom
1.0
5.033 0.000 -0.002
0.000 5.034 -0.003
0.003 0.005 7.352
Pm Ga Au
4 1 1
Direct
0.501 0.997 0.748
0.001 0.497 0.748
0.001 0.497 0.248
0.501 0.997 0.248
0.001 0.997 0.498
0.501 0.497 0.998